Here is Ac3Pm2Sn6 after structural relaxation from Alexandria. Energies are from PBE.

Results
Uncorrected energy ... -0.1636 Ha/atom
SG ... I4/mmm
Crystal system ... tetragonal
Energy of formation ... -0.284 eV/atom
Total magnetization ... 0.00 μB per formula unit
Fermi-level density of states ... 7.08 states/eV/f.u.

abc: 12.466 12.466 12.466
angles: 152.20 152.20 39.72
Atoms (fractional coordinates):
Ac: 0.000 0.000 0.000
Ac: 0.159 0.159 0.000
Ac: 0.841 0.841 0.000
Pm: 0.427 0.427 0.000
Pm: 0.573 0.573 0.000
Sn: 0.074 0.574 0.500
Sn: 0.300 0.300 0.000
Sn: 0.426 0.926 0.500
Sn: 0.574 0.074 0.500
Sn: 0.700 0.700 0.000
Sn: 0.926 0.426 0.500